a | Compound: Pm3Tm2Sc4
Source: Alexandria
Functional: GGA-PBE
Structure: relaxed

Magnetization in μB per atom: 0.00
Calculated volume in Å³/f.u.: 259.0
Space group: C2/m, No. 12
DOS(E_F) in states/eV per cell: 13.956

Cell: 4.8383 7.7278 7.6885 Å, 107.38 108.34 90.00°
Last column: nearest neighbours and their distance in Å.
Element x y z (fractional)
Pm: 0.8887 0.3401 0.7774  7 Sc 3.35-3.48, 2 Pm 3.41-3.50, 3 Tm 3.45-3.49
Pm: 0.1113 0.6599 0.2226  7 Sc 3.35-3.48, 2 Pm 3.41-3.50, 3 Tm 3.45-3.49
Pm: 0.0000 0.0000 0.0000  4 Tm 3.43, 6 Sc 3.45-3.46, 2 Pm 3.50
Tm: 0.3328 0.9968 0.6656  5 Sc 3.42-3.52, 5 Pm 3.43-3.49, 2 Tm 3.43
Tm: 0.6672 0.0032 0.3344  5 Sc 3.42-3.52, 5 Pm 3.43-3.49, 2 Tm 3.43
Sc: 0.5597 0.3378 0.1194  4 Sc 3.37-3.47, 6 Pm 3.38-3.48, 2 Tm 3.42-3.52
Sc: 0.7791 0.6616 0.5582  4 Pm 3.35-3.45, 5 Sc 3.37-3.39, 3 Tm 3.45-3.51
Sc: 0.4403 0.6622 0.8806  4 Sc 3.37-3.47, 6 Pm 3.38-3.48, 2 Tm 3.42-3.52
Sc: 0.2209 0.3384 0.4418  4 Pm 3.35-3.45, 5 Sc 3.37-3.39, 3 Tm 3.45-3.51

***

b | Compound: Pm3Tm2Sc4
Source: Alexandria
Functional: GGA-PBE
Structure: relaxed

Magnetization in μB per atom: 0.00
Calculated volume in Å³/f.u.: 260.9
Space group: P-1, No. 2
DOS(E_F) in states/eV per cell: 30.292

Cell: 6.5638 10.6580 9.3341 Å, 72.63 60.40 68.23°
Last column: nearest neighbours and their distance in Å.
Element x y z (fractional)
Pm: 0.8318 0.9694 0.8142  1 Pm 3.37, 4 Tm 3.39-3.55, 6 Sc 3.43-3.58
Pm: 0.4921 0.2961 0.8321  3 Pm 3.37-3.67, 6 Sc 3.37-3.61, 3 Tm 3.45-3.73
Pm: 0.1682 0.0306 0.1858  1 Pm 3.37, 4 Tm 3.39-3.55, 6 Sc 3.43-3.58
Pm: 0.5079 0.7039 0.1679  3 Pm 3.37-3.67, 6 Sc 3.37-3.61, 3 Tm 3.45-3.73
Pm: 0.2658 0.4486 0.5216  6 Sc 3.25-3.47, 3 Pm 3.44-3.59, 1 Tm 3.61
Pm: 0.7342 0.5514 0.4784  6 Sc 3.25-3.47, 3 Pm 3.44-3.59, 1 Tm 3.61
Tm: 0.3789 0.8746 0.8322  6 Sc 3.15-3.42, 3 Pm 3.39-3.45, 1 Tm 3.44
Tm: 0.8546 0.3683 0.1635  6 Sc 3.35-3.70, 5 Pm 3.42-3.73, 2 Tm 3.44-3.74
Tm: 0.6211 0.1254 0.1678  6 Sc 3.15-3.42, 3 Pm 3.39-3.45, 1 Tm 3.44
Tm: 0.1454 0.6317 0.8365  6 Sc 3.35-3.70, 5 Pm 3.42-3.73, 2 Tm 3.44-3.74
Sc: 0.5964 0.1160 0.5219  2 Tm 3.20-3.35, 5 Sc 3.34-3.43, 3 Pm 3.40-3.51
Sc: 0.0471 0.2091 0.8327  3 Tm 3.15-3.42, 3 Sc 3.24-3.41, 4 Pm 3.34-3.43
Sc: 0.4036 0.8840 0.4781  2 Tm 3.20-3.35, 5 Sc 3.34-3.43, 3 Pm 3.40-3.51
Sc: 0.9529 0.7909 0.1673  3 Tm 3.15-3.42, 3 Sc 3.24-3.41, 4 Pm 3.34-3.43
Sc: 0.9286 0.7882 0.5237  5 Sc 3.24-3.43, 2 Tm 3.32-3.57, 5 Pm 3.43-3.61
Sc: 0.2924 0.4592 0.1613  3 Sc 3.06-3.42, 3 Pm 3.25-3.42, 2 Tm 3.35-3.41
Sc: 0.0714 0.2118 0.4763  5 Sc 3.24-3.43, 2 Tm 3.32-3.57, 5 Pm 3.43-3.61
Sc: 0.7076 0.5407 0.8387  3 Sc 3.06-3.42, 3 Pm 3.25-3.42, 2 Tm 3.35-3.41

***

Which one is the least stable? From the structures above, a.